Record 1
Compound: Al2NiPI
Source: Alexandria via LeMat-Bulk
Functional: GGA-PBE
Structure: relaxed

abc: 5.414 5.414 5.132
angles: 90.00 90.00 90.00
Element x y z (fractional)
1 Al 0.000 0.500 0.000
2 Al 0.500 0.000 0.000
3 Ni 0.000 0.000 0.500
4 P 0.500 0.500 0.500
5 I 0.500 0.500 0.000

Output
SG ... P4/mmm
V ... 30.09 A^3/atom
Fermi-level density of states ... 6.038 states/eV/f.u.
Magnetization ... 0.002 μB/atom
Raw formation energy ... 163 kJ/mol of atoms



Record 2
Compound: Rb2AlNiI6
Source: Alexandria via LeMat-Bulk
Functional: GGA-PBE
Structure: relaxed

abc: 8.028 8.028 8.028
angles: 120.00 120.00 90.00
Element x y z (fractional)
1 Rb 0.250 0.750 0.500
2 Rb 0.750 0.250 0.500
3 Al 0.000 0.000 0.000
4 Ni 0.500 0.500 0.000
5 I 0.252 0.252 0.504
6 I 0.252 0.748 0.000
7 I 0.254 0.254 0.000
8 I 0.746 0.746 0.000
9 I 0.748 0.252 0.000
10 I 0.748 0.748 0.496

Output
SG ... I4/mmm
V ... 36.58 A^3/atom
Fermi-level density of states ... 0.830 states/eV/f.u.
Magnetization ... 0.106 μB/atom
Raw formation energy ... -69 kJ/mol of atoms



Record 3
Compound: AlReNi2I
Source: Alexandria via LeMat-Bulk
Functional: GGA-PBE
Structure: relaxed

abc: 4.325 4.325 5.259
angles: 90.00 90.00 90.00
Element x y z (fractional)
1 Al 0.000 0.000 0.000
2 Re 0.500 0.500 0.500
3 Ni 0.000 0.500 0.000
4 Ni 0.500 0.000 0.000
5 I 0.000 0.000 0.500

Output
SG ... P4/mmm
V ... 19.67 A^3/atom
Fermi-level density of states ... 4.479 states/eV/f.u.
Magnetization ... 0.650 μB/atom
Raw formation energy ... 161 kJ/mol of atoms



Record 4
Compound: AlNiSb2I
Source: Alexandria via LeMat-Bulk
Functional: GGA-PBE
Structure: relaxed

abc: 4.960 4.960 5.568
angles: 90.00 90.00 90.00
Element x y z (fractional)
1 Al 0.000 0.000 0.000
2 Ni 0.500 0.500 0.500
3 Sb 0.000 0.500 0.500
4 Sb 0.500 0.000 0.500
5 I 0.500 0.500 0.000

Output
SG ... P4/mmm
V ... 27.40 A^3/atom
Fermi-level density of states ... 6.309 states/eV/f.u.
Magnetization ... 0.035 μB/atom
Raw formation energy ... 43 kJ/mol of atoms
E above lowest polymorph ... 0 meV per atom



Record 5
Compound: ScAl2NiI
Source: Alexandria via LeMat-Bulk
Functional: GGA-PBE
Structure: relaxed

abc: 5.336 5.336 5.232
angles: 90.00 90.00 90.00
Element x y z (fractional)
1 Sc 0.000 0.000 0.000
2 Al 0.000 0.500 0.500
3 Al 0.500 0.000 0.500
4 Ni 0.500 0.500 0.000
5 I 0.000 0.000 0.500

Output
SG ... P4/mmm
V ... 29.79 A^3/atom
Fermi-level density of states ... 5.455 states/eV/f.u.
Magnetization ... 0.185 μB/atom
Raw formation energy ... 132 kJ/mol of atoms



Record 6
Compound: AlNiSnI2
Source: Alexandria via LeMat-Bulk
Functional: GGA-PBE
Structure: relaxed

abc: 5.500 5.500 4.897
angles: 90.00 90.00 90.00
Element x y z (fractional)
1 Al 0.000 0.000 0.000
2 Ni 0.500 0.500 0.500
3 Sn 0.500 0.500 0.000
4 I 0.000 0.500 0.500
5 I 0.500 0.000 0.500

Output
SG ... P4/mmm
V ... 29.63 A^3/atom
Fermi-level density of states ... 3.353 states/eV/f.u.
Magnetization ... 0.000 μB/atom
Raw formation energy ... 27 kJ/mol of atoms



Record 7
Compound: AlNiTeI2
Source: Alexandria via LeMat-Bulk
Functional: GGA-PBE
Structure: relaxed

abc: 5.420 5.420 5.016
angles: 90.00 90.00 90.00
Element x y z (fractional)
1 Al 0.000 0.000 0.000
2 Ni 0.500 0.500 0.500
3 Te 0.500 0.500 0.000
4 I 0.000 0.500 0.500
5 I 0.500 0.000 0.500

Output
SG ... P4/mmm
V ... 29.47 A^3/atom
Fermi-level density of states ... 5.504 states/eV/f.u.
Magnetization ... 0.000 μB/atom
Raw formation energy ... 24 kJ/mol of atoms
E above lowest polymorph ... 0 meV per atom



Record 8
Compound: TiAlNiI2
Source: Alexandria via LeMat-Bulk
Functional: GGA-PBE
Structure: relaxed

abc: 5.521 5.521 4.599
angles: 90.00 90.00 90.00
Element x y z (fractional)
1 Ti 0.000 0.000 0.000
2 Al 0.500 0.500 0.500
3 Ni 0.000 0.000 0.500
4 I 0.000 0.500 0.000
5 I 0.500 0.000 0.000

Output
SG ... P4/mmm
V ... 28.04 A^3/atom
Fermi-level density of states ... 3.275 states/eV/f.u.
Magnetization ... 0.147 μB/atom
Raw formation energy ... 41 kJ/mol of atoms



Record 9
Compound: AlNiWI2
Source: Alexandria via LeMat-Bulk
Functional: GGA-PBE
Structure: relaxed

abc: 5.563 5.563 4.502
angles: 90.00 90.00 90.00
Element x y z (fractional)
1 Al 0.000 0.000 0.000
2 Ni 0.000 0.000 0.500
3 W 0.500 0.500 0.500
4 I 0.000 0.500 0.000
5 I 0.500 0.000 0.000

Output
SG ... P4/mmm
V ... 27.87 A^3/atom
Fermi-level density of states ... 6.110 states/eV/f.u.
Magnetization ... 0.894 μB/atom
Raw formation energy ... 157 kJ/mol of atoms



Record 10
Compound: AlI3O
Source: Alexandria via LeMat-Bulk
Functional: GGA-PBE
Structure: relaxed

abc: 5.498 5.498 5.498
angles: 90.00 90.00 90.00
Element x y z (fractional)
1 Al 0.000 0.000 0.000
2 I 0.000 0.000 0.500
3 I 0.000 0.500 0.000
4 I 0.500 0.000 0.000
5 O 0.500 0.500 0.500

Output
SG ... Pm-3m
V ... 33.23 A^3/atom
Fermi-level density of states ... 18.108 states/eV/f.u.
Magnetization ... 0.000 μB/atom
Raw formation energy ... 56 kJ/mol of atoms
E above lowest polymorph ... 229 meV per atom



Record 11
Compound: AlIO3
Source: Alexandria via LeMat-Bulk
Functional: GGA-PBE
Structure: relaxed

abc: 6.177 6.177 10.756
angles: 104.20 104.20 27.04
Element x y z (fractional)
1 Al 0.151 0.151 0.457
2 Al 0.849 0.849 0.543
3 I 0.421 0.421 0.193
4 I 0.579 0.579 0.807
5 O 0.184 0.184 0.928
6 O 0.296 0.296 0.427
7 O 0.435 0.435 0.632
8 O 0.565 0.565 0.368
9 O 0.704 0.704 0.573
10 O 0.816 0.816 0.072

Output
SG ... C2/m
V ... 18.06 A^3/atom
Fermi-level density of states ... 3.007 states/eV/f.u.
Magnetization ... 0.092 μB/atom
Raw formation energy ... -103 kJ/mol of atoms



Record 12
Compound: Al2IO
Source: Alexandria via LeMat-Bulk
Functional: GGA-PBE
Structure: relaxed

abc: 7.213 7.213 7.213
angles: 137.21 137.21 62.11
Element x y z (fractional)
1 Al 0.375 0.140 0.265
2 Al 0.860 0.125 0.235
3 Al 0.875 0.110 0.735
4 Al 0.890 0.625 0.765
5 I 0.250 0.750 0.500
6 I 0.500 0.500 0.000
7 O 0.000 0.000 0.000
8 O 0.750 0.250 0.500

Output
SG ... I-42d
V ... 21.39 A^3/atom
Fermi-level density of states ... 0.944 states/eV/f.u.
Magnetization ... 0.000 μB/atom
Raw formation energy ... -60 kJ/mol of atoms
E above lowest polymorph ... 0 meV per atom



Record 13
Compound: AlIO3
Source: Alexandria via LeMat-Bulk
Functional: GGA-PBE
Structure: relaxed

abc: 4.150 4.150 4.150
angles: 90.00 90.00 90.00
Element x y z (fractional)
1 Al 0.000 0.000 0.000
2 I 0.500 0.500 0.500
3 O 0.000 0.500 0.500
4 O 0.500 0.000 0.500
5 O 0.500 0.500 0.000

Output
SG ... Pm-3m
V ... 14.29 A^3/atom
Fermi-level density of states ... 0.622 states/eV/f.u.
Magnetization ... 0.000 μB/atom
Raw formation energy ... -2 kJ/mol of atoms



Record 14
Compound: Al2IO
Source: Alexandria via LeMat-Bulk
Functional: GGA-PBE
Structure: relaxed

abc: 4.739 4.739 4.739
angles: 60.00 60.00 60.00
Element x y z (fractional)
1 Al 0.250 0.250 0.250
2 Al 0.750 0.750 0.750
3 I 0.000 0.000 0.000
4 O 0.500 0.500 0.500

Output
SG ... Fm-3m
V ... 18.82 A^3/atom
Fermi-level density of states ... 2.415 states/eV/f.u.
Magnetization ... 0.000 μB/atom
Raw formation energy ... 34 kJ/mol of atoms
E above lowest polymorph ... 978 meV per atom



Record 15
Compound: AlI2O8
Source: Alexandria via LeMat-Bulk
Functional: GGA-PBE
Structure: relaxed

abc: 6.858 6.858 4.999
angles: 103.08 103.08 82.30
Element x y z (fractional)
1 Al 0.000 0.000 0.000
2 I 0.204 0.204 0.730
3 I 0.796 0.796 0.270
4 O 0.042 0.756 0.151
5 O 0.156 0.156 0.341
6 O 0.244 0.958 0.849
7 O 0.386 0.386 0.884
8 O 0.614 0.614 0.116
9 O 0.756 0.042 0.151
10 O 0.844 0.844 0.659
11 O 0.958 0.244 0.849

Output
SG ... C2/m
V ... 20.20 A^3/atom
Fermi-level density of states ... 3.326 states/eV/f.u.
Magnetization ... 0.000 μB/atom
Raw formation energy ... -47 kJ/mol of atoms
E above lowest polymorph ... 78 meV per atom



Record 16
Compound: AlI2O8
Source: Alexandria via LeMat-Bulk
Functional: GGA-PBE
Structure: relaxed

abc: 5.659 5.659 6.457
angles: 90.00 90.00 120.00
Element x y z (fractional)
1 Al 0.000 0.000 0.000
2 I 0.333 0.667 0.262
3 I 0.667 0.333 0.738
4 O 0.150 0.848 0.186
5 O 0.152 0.303 0.186
6 O 0.303 0.150 0.814
7 O 0.333 0.667 0.537
8 O 0.667 0.333 0.463
9 O 0.697 0.850 0.186
10 O 0.848 0.697 0.814
11 O 0.850 0.152 0.814

Output
SG ... P-3
V ... 16.28 A^3/atom
Fermi-level density of states ... 1.733 states/eV/f.u.
Magnetization ... 0.000 μB/atom
Raw formation energy ... -54 kJ/mol of atoms
E above lowest polymorph ... 0 meV per atom



Record 17
Compound: AlI3O
Source: Alexandria via LeMat-Bulk
Functional: GGA-PBE
Structure: relaxed

abc: 5.177 5.177 5.177
angles: 90.00 90.00 90.00
Element x y z (fractional)
1 Al 0.000 0.000 0.000
2 I 0.000 0.500 0.500
3 I 0.500 0.000 0.500
4 I 0.500 0.500 0.000
5 O 0.500 0.500 0.500

Output
SG ... Pm-3m
V ... 27.75 A^3/atom
Fermi-level density of states ... 2.110 states/eV/f.u.
Magnetization ... 0.000 μB/atom
Raw formation energy ... 34 kJ/mol of atoms
E above lowest polymorph ... 0 meV per atom



Record 18
Compound: AlIO3
Source: Alexandria via LeMat-Bulk
Functional: GGA-PBE
Structure: relaxed

abc: 3.776 3.776 3.776
angles: 90.00 90.00 90.00
Element x y z (fractional)
1 Al 0.000 0.000 0.000
2 I 0.500 0.500 0.500
3 O 0.000 0.000 0.500
4 O 0.000 0.500 0.000
5 O 0.500 0.000 0.000

Output
SG ... Pm-3m
V ... 10.76 A^3/atom
Fermi-level density of states ... 1.579 states/eV/f.u.
Magnetization ... 0.000 μB/atom
Raw formation energy ... -103 kJ/mol of atoms



Record 19
Compound: AlIO
Source: Alexandria via LeMat-Bulk
Functional: GGA-PBE
Structure: relaxed

abc: 5.835 9.908 5.118
angles: 90.00 90.00 90.00
Element x y z (fractional)
1 Al 0.098 0.075 0.000
2 Al 0.402 0.075 0.500
3 Al 0.598 0.925 0.000
4 Al 0.902 0.925 0.500
5 I 0.001 0.686 0.587
6 I 0.499 0.686 0.087
7 I 0.501 0.314 0.587
8 I 0.999 0.314 0.087
9 O 0.130 0.026 0.658
10 O 0.370 0.026 0.158
11 O 0.630 0.974 0.658
12 O 0.870 0.974 0.158

Output
SG ... Pca2_1
V ... 24.66 A^3/atom
Fermi-level density of states ... 0.000 states/eV/f.u.
Magnetization ... 0.000 μB/atom
Raw formation energy ... -184 kJ/mol of atoms



Record 20
Compound: AlOsIO2
Source: Alexandria via LeMat-Bulk
Functional: GGA-PBE
Structure: relaxed

abc: 3.849 3.849 8.051
angles: 90.00 90.00 90.00
Element x y z (fractional)
1 Al 0.000 0.000 0.000
2 Os 0.500 0.500 0.500
3 I 0.500 0.500 0.000
4 O 0.000 0.500 0.500
5 O 0.500 0.000 0.500

Output
SG ... P4/mmm
V ... 23.86 A^3/atom
Fermi-level density of states ... 2.923 states/eV/f.u.
Magnetization ... 0.000 μB/atom
Raw formation energy ... -13 kJ/mol of atoms
E above lowest polymorph ... 0 meV per atom



Record 21
Compound: AlOsIO2
Source: Alexandria via LeMat-Bulk
Functional: GGA-PBE
Structure: relaxed

abc: 3.679 3.679 6.866
angles: 90.00 90.00 90.00
Element x y z (fractional)
1 Al 0.000 0.000 0.000
2 Os 0.500 0.500 0.500
3 I 0.000 0.000 0.500
4 O 0.000 0.500 0.000
5 O 0.500 0.000 0.000

Output
SG ... P4/mmm
V ... 18.59 A^3/atom
Fermi-level density of states ... 3.377 states/eV/f.u.
Magnetization ... 0.145 μB/atom
Raw formation energy ... -7 kJ/mol of atoms
E above lowest polymorph ... 60 meV per atom



Record 22
Compound: AlP2IO
Source: Alexandria via LeMat-Bulk
Functional: GGA-PBE
Structure: relaxed

abc: 5.131 5.131 3.925
angles: 90.00 90.00 90.00
Element x y z (fractional)
1 Al 0.000 0.000 0.000
2 P 0.000 0.500 0.500
3 P 0.500 0.000 0.500
4 I 0.500 0.500 0.500
5 O 0.500 0.500 0.000

Output
SG ... P4/mmm
V ... 20.67 A^3/atom
Fermi-level density of states ... 1.895 states/eV/f.u.
Magnetization ... 0.000 μB/atom
Raw formation energy ... 87 kJ/mol of atoms
E above lowest polymorph ... 968 meV per atom



Record 23
Compound: AlP2IO
Source: Alexandria via LeMat-Bulk
Functional: GGA-PBE
Structure: relaxed

abc: 5.056 5.056 3.513
angles: 90.00 90.00 90.00
Element x y z (fractional)
1 Al 0.000 0.000 0.000
2 P 0.000 0.500 0.000
3 P 0.500 0.000 0.000
4 I 0.500 0.500 0.500
5 O 0.000 0.000 0.500

Output
SG ... P4/mmm
V ... 17.96 A^3/atom
Fermi-level density of states ... 3.761 states/eV/f.u.
Magnetization ... 0.000 μB/atom
Raw formation energy ... -7 kJ/mol of atoms
E above lowest polymorph ... 0 meV per atom



Record 24
Compound: AlPbI2O
Source: Alexandria via LeMat-Bulk
Functional: GGA-PBE
Structure: relaxed

abc: 5.813 5.813 3.611
angles: 90.00 90.00 90.00
Element x y z (fractional)
1 Al 0.000 0.000 0.000
2 Pb 0.500 0.500 0.500
3 I 0.000 0.500 0.000
4 I 0.500 0.000 0.000
5 O 0.000 0.000 0.500

Output
SG ... P4/mmm
V ... 24.40 A^3/atom
Fermi-level density of states ... 2.116 states/eV/f.u.
Magnetization ... 0.000 μB/atom
Raw formation energy ... -78 kJ/mol of atoms



Record 25
Compound: AlPdI2O
Source: Alexandria via LeMat-Bulk
Functional: GGA-PBE
Structure: relaxed

abc: 5.723 5.723 3.402
angles: 90.00 90.00 90.00
Element x y z (fractional)
1 Al 0.000 0.000 0.000
2 Pd 0.500 0.500 0.500
3 I 0.000 0.500 0.000
4 I 0.500 0.000 0.000
5 O 0.000 0.000 0.500

Output
SG ... P4/mmm
V ... 22.28 A^3/atom
Fermi-level density of states ... 4.523 states/eV/f.u.
Magnetization ... 0.000 μB/atom
Raw formation energy ... -57 kJ/mol of atoms
E above lowest polymorph ... 0 meV per atom



Record 26
Compound: AlPdI2O
Source: Alexandria via LeMat-Bulk
Functional: GGA-PBE
Structure: relaxed

abc: 5.705 5.705 3.916
angles: 90.00 90.00 90.00
Element x y z (fractional)
1 Al 0.000 0.000 0.000
2 Pd 0.500 0.500 0.500
3 I 0.000 0.500 0.500
4 I 0.500 0.000 0.500
5 O 0.500 0.500 0.000

Output
SG ... P4/mmm
V ... 25.49 A^3/atom
Fermi-level density of states ... 2.021 states/eV/f.u.
Magnetization ... 0.205 μB/atom
Raw formation energy ... 4 kJ/mol of atoms
E above lowest polymorph ... 633 meV per atom



Record 27
Compound: RbAlIO2
Source: Alexandria via LeMat-Bulk
Functional: GGA-PBE
Structure: relaxed

abc: 4.239 4.239 5.627
angles: 90.00 90.00 90.00
Element x y z (fractional)
1 Rb 0.000 0.000 0.000
2 Al 0.500 0.500 0.500
3 I 0.500 0.500 0.000
4 O 0.000 0.500 0.500
5 O 0.500 0.000 0.500

Output
SG ... P4/mmm
V ... 20.22 A^3/atom
Fermi-level density of states ... 2.275 states/eV/f.u.
Magnetization ... 0.202 μB/atom
Raw formation energy ... -84 kJ/mol of atoms
E above lowest polymorph ... 0 meV per atom